Material: PCl
Method: DFT, PBE
State: optimized geometry

Lattice parameters (Å, degrees): 7.7161 7.7161 7.7161 90.00 90.00 90.00
Sites, in units of the cell vectors:
P 0.0000 0.2500 0.5000
P 0.0000 0.7500 0.5000
P 0.2500 0.5000 0.0000
P 0.5000 0.0000 0.2500
P 0.5000 0.0000 0.7500
P 0.7500 0.5000 0.0000
Cl 0.0000 0.5000 0.2500
Cl 0.0000 0.5000 0.7500
Cl 0.2500 0.0000 0.5000
Cl 0.5000 0.2500 0.0000
Cl 0.5000 0.7500 0.0000
Cl 0.7500 0.0000 0.5000

Computed properties:
Its symmetry is Pm-3n. The energy above the most stable polymorph in this dataset is 149.1 kJ per mole of atoms. The value obtained for the uncorrected formation energy is 1.19 eV per atom.